! BaAc2BeO5 PBE optimized geometry; values from VASP
&SYSTEM
  ibrav = 0, nat = 18, ntyp = 4
/
ATOMIC_SPECIES
O 16.00 O.upf
Be 9.01 Be.upf
Ac 227.00 Ac.upf
Ba 137.33 Ba.upf
CELL_PARAMETERS angstrom
7.137 0.000 0.000
0.000 7.137 0.000
-3.569 -3.569 5.432
ATOMIC_POSITIONS angstrom
O -0.925 4.493 3.824
O 0.000 0.000 0.000
O 2.644 0.925 1.608
O 3.569 3.569 0.000
O 4.493 -0.925 1.608
O 4.493 0.925 3.824
O 0.925 2.644 3.824
O -0.925 2.644 1.608
O 0.925 4.493 1.608
O 2.644 -0.925 3.824
Be 3.569 0.000 2.716
Be 0.000 3.569 2.716
Ac 1.255 2.314 0.000
Ac 4.823 1.255 0.000
Ac 2.314 5.882 0.000
Ac 5.882 4.823 0.000
Ba 0.000 0.000 2.716
Ba 3.569 3.569 2.716
! N(E_F), states/eV/atom: 0.00
! E_form (uncorrected), meV/atom: -2987
! Symmetry: I4/mcm, No. 140



! Ba2AcBe2O6 PBE optimized geometry; values from VASP
&SYSTEM
  ibrav = 0, nat = 11, ntyp = 4
/
ATOMIC_SPECIES
Ac 227.00 Ac.upf
O 16.00 O.upf
Be 9.01 Be.upf
Ba 137.33 Ba.upf
CELL_PARAMETERS angstrom
5.975 0.000 0.000
-2.987 5.174 0.000
0.000 0.000 6.404
ATOMIC_POSITIONS angstrom
Ac 0.000 0.000 0.000
O 3.469 3.180 1.451
O 1.487 1.414 1.451
O 1.501 3.760 4.953
O -1.019 4.594 4.953
O -0.481 1.995 4.953
O 4.007 0.580 1.451
Be 0.000 3.450 5.093
Be 2.987 1.725 1.310
Ba 0.000 3.450 2.171
Ba 2.987 1.725 4.232
! N(E_F), states/eV/atom: 0.50
! E_form (uncorrected), meV/atom: -2532
! Symmetry: P-3, No. 147



! BaAc2Be2P4 PBE optimized geometry; values from VASP
&SYSTEM
  ibrav = 0, nat = 9, ntyp = 4
/
ATOMIC_SPECIES
Be 9.01 Be.upf
Ac 227.00 Ac.upf
P 30.97 P.upf
Ba 137.33 Ba.upf
CELL_PARAMETERS angstrom
4.070 0.000 0.000
0.000 8.508 -0.823
-2.035 -4.151 7.297
ATOMIC_POSITIONS angstrom
Be 0.000 -2.408 4.890
Be 2.035 6.765 1.584
Ac 2.035 -0.025 5.141
Ac 0.000 4.382 1.333
P 0.000 -1.642 6.939
P 0.000 -0.881 3.072
P 2.035 5.237 3.402
P 2.035 5.999 -0.465
Ba 0.000 0.000 0.000
! Energy of formation from the pure elements, kJ/mol of formula units: -755
! Symmetry: C2/m, No. 12



! BaAcBeP2 PBE optimized geometry; values from VASP
&SYSTEM
  ibrav = 0, nat = 10, ntyp = 4
/
ATOMIC_SPECIES
Be 9.01 Be.upf
P 30.97 P.upf
Ba 137.33 Ba.upf
Ac 227.00 Ac.upf
CELL_PARAMETERS angstrom
4.749 0.000 0.000
0.000 7.487 -0.165
0.000 -2.469 8.227
ATOMIC_POSITIONS angstrom
Be 0.000 -1.234 4.114
Be 0.000 0.000 0.000
P 0.988 4.507 3.908
P 0.988 1.746 0.041
P 3.761 3.273 8.022
P 3.761 0.512 4.154
Ba 3.558 3.126 1.974
Ba 1.191 1.892 6.088
Ac 1.944 -0.617 2.057
Ac 2.805 -1.851 6.170
! N(E_F), states/eV/atom: 0.48
! Energy of formation from the pure elements, kJ/mol of formula units: -366
! Symmetry: P2/c, No. 13



Copy entry 3 word for word.
! BaAc2Be2P4 PBE optimized geometry; values from VASP
&SYSTEM
  ibrav = 0, nat = 9, ntyp = 4
/
ATOMIC_SPECIES
Be 9.01 Be.upf
Ac 227.00 Ac.upf
P 30.97 P.upf
Ba 137.33 Ba.upf
CELL_PARAMETERS angstrom
4.070 0.000 0.000
0.000 8.508 -0.823
-2.035 -4.151 7.297
ATOMIC_POSITIONS angstrom
Be 0.000 -2.408 4.890
Be 2.035 6.765 1.584
Ac 2.035 -0.025 5.141
Ac 0.000 4.382 1.333
P 0.000 -1.642 6.939
P 0.000 -0.881 3.072
P 2.035 5.237 3.402
P 2.035 5.999 -0.465
Ba 0.000 0.000 0.000
! Energy of formation from the pure elements, kJ/mol of formula units: -755
! Symmetry: C2/m, No. 12



- What is the formula in the second record?
  Ba2AcBe2O6